Record 1
A relaxed La2InBr crystal, computed with PBEsol.

Cell: 3.762 3.748 8.804 Å, 89.94 90.00 90.00°
Positions (direct):
La 0.000 0.999 0.226
La 0.000 0.001 0.774
In 0.500 0.500 0.000
Br 0.500 0.000 0.500

Values from the calculation:
The uncorrected formation energy comes out at -0.8811 eV per atom.

---

Record 2
A relaxed RuIN2F crystal, computed with PBEsol.

Cell: 3.910 3.910 4.275 Å, 90.00 90.00 90.00°
Each line ends with the local moment (μB).
Positions (direct):
N 0.500 0.000 0.000  0.22
N 0.000 0.500 0.000  0.22
I 0.000 0.000 0.500  0.00
F 0.000 0.000 0.000  0.00
Ru 0.500 0.500 0.500  -0.12

Values from the calculation:
The uncorrected formation energy comes out at 2.3891 eV per atom.

---

Record 3
A relaxed NaCa3C crystal, computed with PBEsol.

Cell: 5.861 5.861 5.861 Å, 90.00 90.00 90.00°
Each line ends with the local moment (μB).
Positions (direct):
Ca 0.500 0.000 0.000  0.01
Ca 0.000 0.500 0.000  0.01
Ca 0.000 0.000 0.500  0.01
Na 0.000 0.000 0.000  0.01
C 0.500 0.500 0.500  0.82

Values from the calculation:
The calculation puts the energy of formation at 1.7876 eV/atom.

---

Record 4
A relaxed LiBiPbO2 crystal, computed with PBEsol.

Cell: 4.209 4.209 4.451 Å, 90.00 90.00 90.00°
Positions (direct):
O 0.500 0.000 0.000
O 0.000 0.500 0.000
Bi 0.500 0.500 0.500
Pb 0.000 0.000 0.500
Li 0.000 0.000 0.000

Values from the calculation:
The uncorrected formation energy comes out at 0.0145 eV per atom.

---

Record 5
A relaxed MnPbSe crystal, computed with PBEsol.

Cell: 4.858 4.858 4.858 Å, 60.00 60.00 60.00°
Each line ends with the local moment (μB).
Positions (direct):
Se 0.000 0.000 0.000  0.11
Pb 0.250 0.250 0.250  -0.05
Mn 0.500 0.500 0.500  4.17

Values from the calculation:
The uncorrected formation energy comes out at 0.6844 eV per atom.

---

Record 6
A relaxed Y2Al14Fe3 crystal, computed with PBEsol.

Cell: 8.823 8.922 8.922 Å, 120.00 90.00 90.00°
Positions (direct):
Al 0.750 0.340 0.967
Al 0.522 0.826 0.174
Al 0.250 0.660 0.628
Al 0.750 0.340 0.372
Al 0.478 0.174 0.348
Al 0.478 0.652 0.826
Al 0.022 0.174 0.826
Al 0.406 0.667 0.333
Al 0.978 0.826 0.652
Al 0.022 0.174 0.348
Al 0.978 0.826 0.174
Al 0.022 0.652 0.826
Al 0.250 0.372 0.340
Al 0.522 0.826 0.652
Al 0.250 0.372 0.033
Al 0.750 0.033 0.660
Al 0.906 0.333 0.667
Al 0.750 0.033 0.372
Al 0.750 0.628 0.660
Al 0.594 0.333 0.667
Al 0.250 0.967 0.340
Al 0.478 0.174 0.826
Al 0.750 0.628 0.967
Al 0.250 0.660 0.033
Al 0.978 0.348 0.174
Al 0.094 0.667 0.333
Al 0.250 0.967 0.628
Al 0.522 0.348 0.174
Y 0.750 0.667 0.333
Y 0.250 0.000 0.000
Y 0.750 0.000 0.000
Y 0.250 0.333 0.667
Fe 0.000 0.500 0.000
Fe 0.500 0.500 0.500
Fe 0.000 0.000 0.500
Fe 0.500 0.500 0.000
Fe 0.000 0.500 0.500
Fe 0.500 0.000 0.500

Values from the calculation:
The calculation puts the energy of formation at -0.4004 eV/atom.

---

Record 7
A relaxed Rb3TeF crystal, computed with PBEsol.

Cell: 5.468 5.468 5.468 Å, 90.00 90.00 90.00°
Positions (direct):
Rb 0.500 0.000 0.500
Rb 0.500 0.500 0.000
Rb 0.000 0.500 0.500
Te 0.000 0.000 0.000
F 0.500 0.500 0.500

Values from the calculation:
The uncorrected formation energy comes out at -1.6857 eV per atom.

---

Record 8
A relaxed CaSnIr3 crystal, computed with PBEsol.

Cell: 4.841 4.841 4.841 Å, 90.00 90.00 90.00°
Positions (direct):
Sn 0.000 0.000 0.000
Ir 0.500 0.000 0.000
Ir 0.000 0.500 0.000
Ir 0.000 0.000 0.500
Ca 0.500 0.500 0.500

Values from the calculation:
The calculation puts the energy of formation at 1.1017 eV/atom.

---

Record 9
A relaxed AlBrNF2 crystal, computed with PBEsol.

Cell: 3.637 4.724 4.724 Å, 90.00 90.00 90.00°
Positions (direct):
F 0.000 0.000 0.500
F 0.000 0.500 0.000
Al 0.500 0.500 0.500
Br 0.000 0.000 0.000
N 0.500 0.000 0.000

Values from the calculation:
The uncorrected formation energy comes out at 0.2764 eV per atom.

---

Record 10
A relaxed Li2TiCl crystal, computed with PBEsol.

Cell: 4.794 5.793 5.793 Å, 80.14 65.55 65.55°
Each line ends with the local moment (μB).
Positions (direct):
Li 0.875 0.574 0.926  0.00
Li 0.551 0.074 0.574  0.00
Li 0.199 0.926 0.426  0.00
Li 0.375 0.426 0.074  0.00
Ti 0.000 0.000 0.000  0.78
Ti 0.750 0.500 0.500  0.78
Cl 0.250 0.500 0.500  -0.01
Cl 0.500 0.000 0.000  -0.01

Values from the calculation:
The uncorrected formation energy comes out at -0.1249 eV per atom.

---

Record 11
A relaxed MgS2I crystal, computed with PBEsol.

Cell: 3.783 3.783 8.076 Å, 76.46 76.46 60.00°
Positions (direct):
Mg 0.500 0.500 0.500
S 0.109 0.109 0.673
S 0.891 0.891 0.327
I 0.000 0.000 0.000

Values from the calculation:
The uncorrected formation energy comes out at -0.5074 eV per atom.

---

Record 12
A relaxed Be2CdBr crystal, computed with PBEsol.

Cell: 2.947 5.459 5.459 Å, 64.28 74.34 74.34°
Positions (direct):
Br 0.429 0.571 0.571
Cd 0.290 0.210 0.210
Be 0.041 0.959 0.959
Be 0.740 0.760 0.760

Values from the calculation:
The uncorrected formation energy comes out at 0.5346 eV per atom.

---

Record 13
A relaxed YAlSe3 crystal, computed with PBEsol.

Cell: 3.922 7.414 10.389 Å, 106.38 90.00 90.00°
Positions (direct):
Se 0.500 0.622 0.904
Se 0.000 0.524 0.206
Se 0.000 0.140 0.843
Se 0.000 0.388 0.533
Se 0.500 0.912 0.468
Se 0.000 0.037 0.162
Al 0.000 0.064 0.403
Al 0.000 0.698 0.049
Y 0.500 0.271 0.056
Y 0.500 0.261 0.683

Values from the calculation:
The uncorrected formation energy comes out at -1.3452 eV per atom.

---

Record 14
A relaxed Na2SrCl2 crystal, computed with PBEsol.

Cell: 3.977 3.977 9.548 Å, 102.02 102.02 90.00°
Positions (direct):
Na 0.250 0.750 0.500
Na 0.750 0.250 0.500
Cl 0.584 0.584 0.168
Cl 0.416 0.416 0.832
Sr 0.000 0.000 0.000

Values from the calculation:
The uncorrected formation energy comes out at -1.0863 eV per atom.

---

Record 15
A relaxed ScMnBe2Cd crystal, computed with PBEsol.

Cell: 4.207 4.617 4.617 Å, 90.00 90.00 90.00°
Each line ends with the local moment (μB).
Positions (direct):
Sc 0.000 0.000 0.000  -0.55
Mn 0.500 0.000 0.000  2.34
Cd 0.500 0.500 0.500  -0.02
Be 0.000 0.500 0.000  -0.13
Be 0.000 0.000 0.500  -0.13

Values from the calculation:
The calculation puts the energy of formation at 1.5076 eV/atom.

---

Record 16
A relaxed FeCuC2I crystal, computed with PBEsol.

Cell: 3.717 3.717 5.341 Å, 90.00 90.00 90.00°
Each line ends with the local moment (μB).
Positions (direct):
Cu 0.000 0.000 0.000  0.01
Fe 0.000 0.000 0.500  2.84
I 0.500 0.500 0.500  0.08
C 0.000 0.500 0.000  -0.01
C 0.500 0.000 0.000  -0.01

Values from the calculation:
The uncorrected formation energy comes out at 2.0951 eV per atom.

---

Record 17
A relaxed YZr2Te crystal, computed with PBEsol.

Cell: 3.491 5.302 5.293 Å, 90.00 96.50 90.00°
Positions (direct):
Te 0.500 0.500 0.000
Zr 0.339 0.000 0.247
Zr 0.661 0.000 0.753
Y 0.000 0.500 0.500

Values from the calculation:
The uncorrected formation energy comes out at -0.2684 eV per atom.

---

Record 18
A relaxed Gd3Mn2C6 crystal, computed with PBEsol.

Cell: 4.998 7.990 7.990 Å, 120.00 90.00 90.00°
Each line ends with the local moment (μB).
Positions (direct):
C 0.750 0.421 0.136  -0.01
C 0.750 0.864 0.285  -0.01
C 0.250 0.040 0.817  -0.02
C 0.750 0.223 0.040  -0.02
C 0.250 0.777 0.960  -0.02
C 0.250 0.136 0.715  -0.01
C 0.750 0.960 0.183  -0.02
C 0.250 0.579 0.864  -0.01
C 0.750 0.715 0.579  -0.01
C 0.250 0.285 0.421  -0.01
C 0.250 0.183 0.223  -0.02
C 0.750 0.817 0.777  -0.02
Gd 0.750 0.312 0.380  6.89
Gd 0.750 0.067 0.688  6.89
Gd 0.250 0.688 0.620  6.89
Gd 0.750 0.620 0.933  6.89
Gd 0.250 0.933 0.312  6.89
Gd 0.250 0.380 0.067  6.89
Mn 0.000 0.000 0.000  0.09
Mn 0.500 0.000 0.000  0.09
Mn 0.250 0.333 0.667  -0.18
Mn 0.750 0.667 0.333  -0.18

Values from the calculation:
The calculation puts the energy of formation at -0.3233 eV/atom.

---

Record 19
A relaxed SmGdB12 crystal, computed with PBEsol.

Cell: 4.091 5.786 5.786 Å, 90.00 90.00 90.00°
Each line ends with the local moment (μB).
Positions (direct):
B 0.500 0.150 0.651  0.00
B 0.199 0.500 0.000  0.00
B 0.500 0.651 0.150  0.00
B 0.500 0.850 0.349  0.00
B 0.199 0.000 0.500  0.00
B 0.500 0.150 0.349  0.00
B 0.500 0.349 0.150  0.00
B 0.801 0.500 0.000  0.00
B 0.500 0.349 0.850  0.00
B 0.500 0.651 0.850  0.00
B 0.801 0.000 0.500  0.00
B 0.500 0.850 0.651  0.00
Sm 0.000 0.500 0.500  -0.04
Gd 0.000 0.000 0.000  6.75

Values from the calculation:
The calculation puts the energy of formation at -0.4726 eV/atom.

---

Record 20
A relaxed TcTeRh crystal, computed with PBEsol.

Cell: 3.049 3.049 6.166 Å, 90.00 90.00 120.00°
Positions (direct):
Te 0.333 0.667 0.338
Tc 0.667 0.333 0.670
Rh 0.000 0.000 0.992

Values from the calculation:
The uncorrected formation energy comes out at 0.3613 eV per atom.

---

Record 21
A relaxed SrZr2Se crystal, computed with PBEsol.

Cell: 3.615 4.781 6.344 Å, 112.02 106.41 90.37°
Positions (direct):
Se 0.500 0.000 0.000
Sr 0.000 0.500 0.000
Zr 0.000 0.000 0.500
Zr 0.500 0.500 0.500

Values from the calculation:
The uncorrected formation energy comes out at -0.1048 eV per atom.

---

Record 22
A relaxed K6Fe24S26Cl crystal, computed with PBEsol.

Cell: 9.612 9.612 11.759 Å, 114.12 114.12 90.00°
Positions (direct):
S 0.749 0.997 0.499
S 0.372 0.372 0.744
S 0.667 0.112 0.779
S 0.333 0.333 0.221
S 0.751 0.500 0.000
S 0.667 0.667 0.779
S 0.377 0.877 0.753
S 0.888 0.333 0.221
S 0.003 0.251 0.501
S 0.500 0.751 0.000
S 0.877 0.377 0.753
S 0.623 0.123 0.247
S 0.749 0.502 0.499
S 0.500 0.249 0.000
S 0.997 0.749 0.499
S 0.112 0.667 0.779
S 0.112 0.112 0.779
S 0.249 0.500 0.000
S 0.333 0.888 0.221
S 0.123 0.623 0.247
S 0.888 0.888 0.221
S 0.628 0.628 0.256
S 0.502 0.749 0.499
S 0.251 0.498 0.501
S 0.498 0.251 0.501
S 0.251 0.003 0.501
Fe 0.182 0.953 0.636
Fe 0.297 0.297 0.863
Fe 0.297 0.566 0.863
Fe 0.546 0.317 0.364
Fe 0.953 0.454 0.636
Fe 0.546 0.047 0.364
Fe 0.818 0.047 0.364
Fe 0.182 0.683 0.636
Fe 0.683 0.454 0.636
Fe 0.047 0.546 0.364
Fe 0.566 0.566 0.863
Fe 0.703 0.434 0.137
Fe 0.434 0.434 0.137
Fe 0.434 0.703 0.137
Fe 0.317 0.818 0.364
Fe 0.566 0.297 0.863
Fe 0.047 0.818 0.364
Fe 0.683 0.182 0.636
Fe 0.454 0.683 0.636
Fe 0.454 0.953 0.636
Fe 0.953 0.182 0.636
Fe 0.317 0.546 0.364
Fe 0.818 0.317 0.364
Fe 0.703 0.703 0.137
K 0.301 0.000 0.000
K 0.000 0.699 0.000
K 0.000 0.301 0.000
K 0.152 0.152 0.304
K 0.699 0.000 0.000
K 0.848 0.848 0.696
Cl 0.000 0.000 0.000

Values from the calculation:
The uncorrected formation energy comes out at -0.6479 eV per atom.

---

M_tot in μB per formula unit, matching the order above: 0.00, 0.45, 1.91, 0.02, 4.60, 0.00, 0.00, 0.00, 0.00, 0.97, 0.00, 0.00, 0.00, 0.00, 1.27, 2.99, 0.00, 20.88, 6.71, 0.00, 0.00, 0.00
Volume in Å³ per cell, matching the order above: 124.1, 65.4, 201.3, 78.8, 81.1, 608.2, 163.5, 113.4, 81.2, 133.3, 96.3, 75.0, 289.8, 144.3, 89.7, 73.8, 97.4, 276.3, 137.0, 49.6, 96.7, 886.6